[1]
# KBr2Cl4

KBr2Cl4 after structural relaxation (PBE, the Alexandria database).

Cell lengths 8.9607, 8.6815, 8.6534 Å; angles 74.49, 58.82, 58.93 degrees
Fractional positions:
Cl  0.0892  0.2759  0.6603
Cl  0.6617  0.8385  0.2238
Cl  0.2502  0.6616  0.7238
Cl  0.4996  0.7759  0.8396
Cl  0.1150  0.2241  0.1604
Cl  0.7240  0.1615  0.7762
Cl  0.6356  0.3384  0.2762
Cl  0.0254  0.7241  0.3397
Br  0.1842  0.4412  0.9403
Br  0.5657  0.5588  0.0597
Br  0.3753  0.0589  0.4403
Br  0.8745  0.9411  0.5597
K  0.9997  0.0000  0.0000
K  0.7498  0.5000  0.5000

Calculated values
The uncorrected formation energy is -0.54 eV per atom.

---

[2]
# KPtI2Br

KPtI2Br after structural relaxation (PBE, the Alexandria database).

Cell lengths 5.5997, 5.5997, 5.2984 Å; angles 90.00, 90.00, 90.00 degrees
Fractional positions:
I  0.5000  0.0000  0.0000
I  0.0000  0.5000  0.0000
Br  0.0000  0.0000  0.5000
Pt  0.0000  0.0000  0.0000
K  0.5000  0.5000  0.5000

Calculated values
The uncorrected formation energy is -0.61 eV per atom.

---

[3]
# Mg2Cu2Pd

Mg2Cu2Pd after structural relaxation (PBE, the Alexandria database).

Cell lengths 3.3417, 3.3417, 7.7684 Å; angles 77.58, 77.58, 90.00 degrees
Fractional positions:
Mg  0.6013  0.6013  0.7973
Mg  0.3987  0.3987  0.2027
Cu  0.2500  0.7500  0.5000
Cu  0.7500  0.2500  0.5000
Pd  0.0000  0.0000  0.0000

Calculated values
For the formation energy, the calculation gives -0.193 eV/atom.

---

no.,spin magnetization (Bohr magnetons per cell),DOS(E_F) (states/eV per cell)
1,1.367,18.92
2,0.000,2.53
3,0.000,2.06